[1]
## GdZrAu6 (PBE)

Data for a geometry-optimized GdZrAu6 structure.

Total magnetization (Bohr magnetons per cell): 0.008
Formation energy from the elements (eV/atom): -0.608

Unit cell a=4.968 b=6.192 c=5.066 alpha=90.00 beta=90.00 gamma=90.00
Atoms (fractional coordinates):
Zr: 0.000 0.500 0.846
Au: 0.500 0.735 0.664
Au: 0.500 0.265 0.664
Au: 0.500 0.500 0.158
Au: 0.000 0.000 0.828
Au: 0.000 0.744 0.340
Au: 0.000 0.256 0.340
Gd: 0.500 0.000 0.161

[2]
## GdZrAu (PBE)

Data for a geometry-optimized GdZrAu structure.

Total magnetization (Bohr magnetons per cell): 0.091
Formation energy from the elements (eV/atom): 0.526
Excess energy over the best structure of this formula in the dataset (meV/atom): 233.9

Unit cell a=4.752 b=4.752 c=4.752 alpha=60.00 beta=60.00 gamma=60.00
Last column: magnetic moment on the atom in μB.
Atoms (fractional coordinates):
Gd: 0.000 0.000 0.000  0.02
Au: 0.250 0.250 0.250  0.00
Zr: 0.750 0.750 0.750  0.06

[3]
## GdZrAu (PBE)

Data for a geometry-optimized GdZrAu structure.

Total magnetization (Bohr magnetons per cell): 0.008
Formation energy from the elements (eV/atom): 0.292
Excess energy over the best structure of this formula in the dataset (meV/atom): 0.0

Unit cell a=4.729 b=4.729 c=4.729 alpha=60.00 beta=60.00 gamma=60.00
Atoms (fractional coordinates):
Zr: 0.000 0.000 0.000
Au: 0.250 0.250 0.250
Gd: 0.750 0.750 0.750

[4]
## GeAu8 (PBE)

Data for a geometry-optimized GeAu8 structure.

Total DFT energy (no corrections) (eV/atom): -3.3453

Unit cell a=4.934 b=4.934 c=32.653 alpha=91.22 beta=91.22 gamma=49.49
Atoms (fractional coordinates):
Au: 0.050 0.050 0.544
Au: 0.950 0.950 0.456
Au: 0.749 0.749 0.575
Au: 0.650 0.650 0.485
Au: 0.851 0.851 0.366
Au: 0.148 0.148 0.338
Au: 0.350 0.350 0.515
Au: 0.550 0.550 0.397
Au: 0.852 0.852 0.662
Au: 0.450 0.450 0.603
Au: 0.749 0.749 0.273
Au: 0.251 0.251 0.425
Au: 0.445 0.445 0.304
Au: 0.251 0.251 0.727
Au: 0.555 0.555 0.696
Au: 0.149 0.149 0.634
Ge: 0.057 0.057 0.256
Ge: 0.943 0.943 0.744

[5]
## GeAu7 (PBE)

Data for a geometry-optimized GeAu7 structure.

Excess energy over the best structure of this formula in the dataset (meV/atom): 2.5

Unit cell a=2.920 b=4.137 c=38.414 alpha=90.00 beta=90.00 gamma=90.00
Atoms (fractional coordinates):
Au: 0.000 0.000 0.675
Au: 0.500 0.500 0.243
Au: 0.500 0.500 0.714
Au: 0.500 0.500 0.481
Au: 0.000 0.000 0.757
Au: 0.500 0.500 0.636
Au: 0.000 0.000 0.597
Au: 0.500 0.500 0.325
Au: 0.000 0.000 0.286
Au: 0.500 0.500 0.558
Au: 0.000 0.000 0.364
Au: 0.500 0.500 0.403
Au: 0.000 0.000 0.442
Au: 0.000 0.000 0.519
Ge: 0.500 0.500 0.787
Ge: 0.000 0.000 0.213

[6]
## Ge2Au9 (PBE)

Data for a geometry-optimized Ge2Au9 structure.

Total DFT energy (no corrections) (eV/atom): -3.4518

Unit cell a=2.953 b=2.953 c=39.266 alpha=90.00 beta=90.00 gamma=120.00
Atoms (fractional coordinates):
Au: 0.000 0.000 0.000
Au: 0.000 0.000 0.183
Au: 0.667 0.333 0.245
Au: 0.667 0.333 0.061
Au: 0.000 0.000 0.817
Au: 0.667 0.333 0.878
Au: 0.333 0.667 0.755
Au: 0.333 0.667 0.122
Au: 0.333 0.667 0.939
Ge: 0.667 0.333 0.697
Ge: 0.333 0.667 0.303